DFT (PBE) results for LaY2Pb after structural relaxation.

Properties
Final energy ... -5.61 eV/atom
Formation energy ... -221.4 meV per atom

a = 3.6761 Å, b = 5.3363 Å, c = 6.8145 Å
α = 90.00°, β = 105.44°, γ = 90.00°
Closest atoms and distances in Å follow each position.
Atoms (fractional coordinates):
La1 0.0000 0.0000 0.0000  2 Pb 3.41, 8 Y 3.65-3.73, 2 La 3.68
Y1 0.3460 0.5000 0.7322  2 Pb 3.23, 2 Y 3.49-3.52
Y2 0.6540 0.5000 0.2678  2 Pb 3.23, 2 Y 3.49-3.52
Pb1 0.5000 0.0000 0.5000  4 Y 3.23, 2 La 3.41